VASP calculation (PBE with a Hubbard U) on a relaxed structure of Tm3Mn5O12.

Theoretical density = 6.68 Mg/m³
Volume = 967.4 Å³ per cell
Uncorrected energy = -623.9 eV for the cell shown

a b c (Å): 10.7912 10.7912 10.7912
angles (deg): 109.47 109.47 109.47
Element x y z (fractional)
Tm 0.7500 0.3750 0.1250
Tm 0.8750 0.7500 0.1250
Tm 0.3750 0.7500 0.6250
Tm 0.2500 0.1250 0.3750
Tm 0.8750 0.1250 0.2500
Tm 0.3750 0.6250 0.2500
Tm 0.6250 0.3750 0.7500
Tm 0.1250 0.8750 0.7500
Tm 0.7500 0.8750 0.6250
Tm 0.6250 0.2500 0.3750
Tm 0.1250 0.2500 0.8750
Tm 0.2500 0.6250 0.8750
Mn 0.1250 0.3750 0.2500
Mn 0.0000 0.5000 0.0000
Mn 0.0000 0.0000 0.0000
Mn 0.3750 0.2500 0.1250
Mn 0.5000 0.0000 0.5000
Mn 0.5000 0.5000 0.0000
Mn 0.1250 0.7500 0.3750
Mn 0.7500 0.1250 0.8750
Mn 0.7500 0.6250 0.3750
Mn 0.3750 0.1250 0.7500
Mn 0.6250 0.8750 0.2500
Mn 0.5000 0.5000 0.5000
Mn 0.5000 0.0000 0.0000
Mn 0.0000 0.0000 0.5000
Mn 0.2500 0.3750 0.6250
Mn 0.2500 0.8750 0.1250
Mn 0.0000 0.5000 0.5000
Mn 0.8750 0.2500 0.6250
Mn 0.6250 0.7500 0.8750
Mn 0.8750 0.6250 0.7500
O 0.7053 0.1274 0.0352
O 0.3299 0.5352 0.4079
O 0.9648 0.3726 0.2947
O 0.5352 0.2053 0.1274
O 0.5780 0.7053 0.6701
O 0.9648 0.5921 0.1701
O 0.3299 0.7947 0.4220
O 0.0921 0.9220 0.1274
O 0.5921 0.9648 0.6701
O 0.7053 0.5780 0.1701
O 0.7947 0.4648 0.3726
O 0.8299 0.9079 0.0352
O 0.1274 0.7053 0.5352
O 0.3726 0.4079 0.0780
O 0.0780 0.9079 0.3726
O 0.4220 0.1274 0.5921
O 0.0780 0.1701 0.2053
O 0.4648 0.6701 0.0921
O 0.8299 0.9220 0.2947
O 0.1274 0.4220 0.0921
O 0.3726 0.9648 0.7947
O 0.5921 0.6274 0.4220
O 0.9079 0.8299 0.5352
O 0.7947 0.3299 0.9220
O 0.4079 0.3726 0.5780
O 0.0921 0.1701 0.4648
O 0.2053 0.6701 0.0780
O 0.1701 0.0780 0.7053
O 0.6274 0.0352 0.2053
O 0.8726 0.5780 0.9079
O 0.5352 0.3299 0.9079
O 0.5780 0.8726 0.4079
O 0.9220 0.8299 0.7947
O 0.9220 0.0921 0.6274
O 0.8726 0.2947 0.4648
O 0.1701 0.0921 0.9648
O 0.6274 0.5921 0.9220
O 0.4079 0.0352 0.3299
O 0.2947 0.4220 0.8299
O 0.2053 0.5352 0.6274
O 0.9079 0.0780 0.8726
O 0.6701 0.2053 0.5780
O 0.4648 0.7947 0.8726
O 0.0352 0.4079 0.8299
O 0.4220 0.2947 0.3299
O 0.0352 0.6274 0.7053
O 0.6701 0.4648 0.5921
O 0.2947 0.8726 0.9648